KBaLiHg | PBE | optimized geometry

Results
**Calculated total energy**: -1.407 eV per atom
**Calculated formation energy**: -9.5 kJ/mol of atoms
**Spin magnetization**: 0.000 μB/atom

```
4
Lattice="0.000 4.260 4.260 4.260 0.000 4.260 4.260 4.260 0.000" Properties=species:S:1:pos:R:3 pbc="T T T"
K 0.000 0.000 0.000
Ba 4.260 4.260 4.260
Li 6.389 6.389 6.389
Hg 2.130 2.130 2.130
```

***

Rb4RhCl5 | PBE | optimized geometry

Results
**Formation energy without anion corrections**: -1396 meV per atom
**Calculated total energy**: -3.441 eV per atom
**Spin magnetization**: 0.201 μB/atom

```
10
Lattice="-5.014 5.014 3.317 5.014 -5.014 3.317 5.014 5.014 -3.317" Properties=species:S:1:pos:R:3 pbc="T T T"
Rb 7.065 0.949 0.000
Rb 0.949 2.963 0.000
Rb 4.065 2.051 3.317
Rb -2.051 4.065 3.317
Rh 0.000 0.000 3.075
Cl 0.000 0.000 0.508
Cl 4.174 2.402 0.013
Cl 2.612 -0.840 3.330
Cl 2.402 5.854 0.013
Cl 0.840 2.612 3.330
```

***

HgRuBr2 | PBE | optimized geometry

Results
**Formation energy without anion corrections**: 691 meV per atom
**Calculated total energy**: -2.540 eV per atom
**Distance to the lowest polymorph of the same formula**: 0.721 eV per atom
**Spin magnetization**: 0.645 μB/atom

```
4
Lattice="3.575 0.000 0.000 0.000 4.364 0.000 0.000 0.000 6.366" Properties=species:S:1:pos:R:3 pbc="T T T"
Hg 0.000 0.000 0.000
Ru 1.787 0.000 3.183
Br 0.000 2.182 3.183
Br 1.787 2.182 0.000
```

***

What is the spin magnetization in the first record? 0.000 μB/atom